1.
# PmMgIn2 | Alexandria via LeMat-Bulk | PBE-GGA | optimized geometry
data_PmMgIn2
_chemical_formula_sum 'Pm1 Mg1 In2'
_symmetry_space_group_name_H-M 'P 4/m m m'
_symmetry_Int_Tables_number 123
_symmetry_space_group_name_Hall '-P 4 2'
_cell_length_a 3.627
_cell_length_b 3.627
_cell_length_c 7.761
_cell_angle_alpha 90.00
_cell_angle_beta 90.00
_cell_angle_gamma 90.00
loop_
_atom_site_label
_atom_site_fract_x
_atom_site_fract_y
_atom_site_fract_z
Pm1 0.000 0.000 0.000
Mg1 0.000 0.000 0.500
In1 0.500 0.500 0.277
# formation energy from the elements = -1.248 eV/f.u.
# calculated volume = 25.53 Å³/atom
# total DFT energy (no corrections) = -3.268 eV/atom

2.
# VCrPt3 | Alexandria via LeMat-Bulk | PBE-GGA | optimized geometry
data_VCrPt3
_chemical_formula_sum 'V1 Cr1 Pt3'
_symmetry_space_group_name_H-M 'P m -3 m'
_symmetry_Int_Tables_number 221
_symmetry_space_group_name_Hall '-P 4 2 3'
_cell_length_a 4.569
_cell_length_b 4.569
_cell_length_c 4.569
_cell_angle_alpha 90.00
_cell_angle_beta 90.00
_cell_angle_gamma 90.00
loop_
_atom_site_label
_atom_site_fract_x
_atom_site_fract_y
_atom_site_fract_z
V1 0.000 0.000 0.000
Cr1 0.500 0.500 0.500
Pt1 0.000 0.500 0.500
# offset from the most stable computed form = 6.47 eV/f.u.
# formation energy from the elements = 4.503 eV/f.u.
# calculated volume = 19.07 Å³/atom
# total DFT energy (no corrections) = -6.472 eV/atom

3.
# Mg2TlAg | Alexandria via LeMat-Bulk | PBE-GGA | optimized geometry
data_Mg2TlAg
_chemical_formula_sum 'Mg2 Tl1 Ag1'
_symmetry_space_group_name_H-M 'P 1 2/m 1'
_symmetry_Int_Tables_number 10
_cell_length_a 5.101
_cell_length_b 3.255
_cell_length_c 5.716
_cell_angle_alpha 90.00
_cell_angle_beta 111.30
_cell_angle_gamma 90.00
loop_
_symmetry_equiv_pos_as_xyz
'x,y,z'
'-x,-y,-z'
'-x,y,-z'
'x,-y,z'
loop_
_atom_site_label
_atom_site_fract_x
_atom_site_fract_y
_atom_site_fract_z
Mg1 0.000 0.000 0.000
Mg2 0.000 0.500 0.500
Tl1 0.500 0.000 0.500
Ag1 0.500 0.500 0.000
# formation energy from the elements = -0.127 eV/f.u.
# calculated volume = 22.11 Å³/atom
# total DFT energy (no corrections) = -2.134 eV/atom

4.
# ScNbTc | Alexandria via LeMat-Bulk | PBE-GGA | optimized geometry
data_ScNbTc
_chemical_formula_sum 'Sc4 Nb4 Tc4'
_symmetry_space_group_name_H-M 'I m m a'
_symmetry_Int_Tables_number 74
_symmetry_space_group_name_Hall '-I 2b 2'
_cell_length_a 5.399
_cell_length_b 5.593
_cell_length_c 7.444
_cell_angle_alpha 90.00
_cell_angle_beta 90.00
_cell_angle_gamma 90.00
loop_
_atom_site_label
_atom_site_fract_x
_atom_site_fract_y
_atom_site_fract_z
Sc1 0.000 0.250 0.119
Nb1 0.000 0.000 0.500
Tc1 0.250 0.250 0.750
# offset from the most stable computed form = 0.11 eV/f.u.
# formation energy from the elements = -0.490 eV/f.u.
# calculated volume = 18.73 Å³/atom
# total DFT energy (no corrections) = -9.086 eV/atom

5.
# LiZr2Sc | Alexandria via LeMat-Bulk | PBE-GGA | optimized geometry
data_LiZr2Sc
_chemical_formula_sum 'Li2 Zr4 Sc2'
_symmetry_space_group_name_H-M 'C m m m'
_symmetry_Int_Tables_number 65
_symmetry_space_group_name_Hall '-C 2 2'
_cell_length_a 3.222
_cell_length_b 5.075
_cell_length_c 11.037
_cell_angle_alpha 90.00
_cell_angle_beta 90.00
_cell_angle_gamma 90.00
loop_
_atom_site_label
_atom_site_fract_x
_atom_site_fract_y
_atom_site_fract_z
Li1 0.000 0.000 0.000
Zr1 0.000 0.500 0.252
Sc1 0.000 0.000 0.500
# formation energy from the elements = 0.664 eV/f.u.
# calculated volume = 22.56 Å³/atom
# total DFT energy (no corrections) = -6.169 eV/atom

6.
# BeCdIr2 | Alexandria via LeMat-Bulk | PBE-GGA | optimized geometry
data_BeCdIr2
_chemical_formula_sum 'Be2 Cd2 Ir4'
_symmetry_space_group_name_H-M 'C 1 2/m 1'
_symmetry_Int_Tables_number 12
_cell_length_a 9.788
_cell_length_b 2.834
_cell_length_c 4.595
_cell_angle_alpha 90.00
_cell_angle_beta 117.36
_cell_angle_gamma 90.00
loop_
_symmetry_equiv_pos_as_xyz
'x,y,z'
'-x,-y,-z'
'-x,y,-z'
'x,-y,z'
'x+1/2,y+1/2,z'
'-x+1/2,-y+1/2,-z'
'-x+1/2,y+1/2,-z'
'x+1/2,-y+1/2,z'
loop_
_atom_site_label
_atom_site_fract_x
_atom_site_fract_y
_atom_site_fract_z
Be1 0.000 0.000 0.000
Cd1 0.000 0.500 0.500
Ir1 0.214 0.500 0.214
# offset from the most stable computed form = 0.10 eV/f.u.
# formation energy from the elements = -0.256 eV/f.u.
# calculated volume = 14.15 Å³/atom
# total DFT energy (no corrections) = -5.655 eV/atom

7.
# CsHo2C2N6 | Alexandria via LeMat-Bulk | PBE-GGA | optimized geometry
data_CsHo2C2N6
_chemical_formula_sum 'Cs2 Ho4 C4 N12'
_symmetry_space_group_name_H-M 'C 1 2/m 1'
_symmetry_Int_Tables_number 12
_cell_length_a 10.510
_cell_length_b 6.034
_cell_length_c 6.064
_cell_angle_alpha 90.00
_cell_angle_beta 114.13
_cell_angle_gamma 90.00
loop_
_symmetry_equiv_pos_as_xyz
'x,y,z'
'-x,-y,-z'
'-x,y,-z'
'x,-y,z'
'x+1/2,y+1/2,z'
'-x+1/2,-y+1/2,-z'
'-x+1/2,y+1/2,-z'
'x+1/2,-y+1/2,z'
loop_
_atom_site_label
_atom_site_fract_x
_atom_site_fract_y
_atom_site_fract_z
Cs1 0.000 0.000 0.000
Ho1 0.174 0.500 0.297
C1 0.156 0.500 0.740
N1 0.072 0.500 0.858
N2 0.199 0.310 0.677
# calculated volume = 15.95 Å³/atom
# total DFT energy (no corrections) = -7.526 eV/atom

8.
# Cr2CoAs | Alexandria via LeMat-Bulk | PBE-GGA | optimized geometry
data_Cr2CoAs
_chemical_formula_sum 'Cr4 Co2 As2'
_symmetry_space_group_name_H-M 'I m m 2'
_symmetry_Int_Tables_number 44
_cell_length_a 3.674
_cell_length_b 3.684
_cell_length_c 7.320
_cell_angle_alpha 90.00
_cell_angle_beta 90.00
_cell_angle_gamma 90.00
loop_
_symmetry_equiv_pos_as_xyz
'x,y,z'
'-x,-y,z'
'-x,y,z'
'x,-y,z'
'x+1/2,y+1/2,z+1/2'
'-x+1/2,-y+1/2,z+1/2'
'-x+1/2,y+1/2,z+1/2'
'x+1/2,-y+1/2,z+1/2'
loop_
_atom_site_label
_atom_site_fract_x
_atom_site_fract_y
_atom_site_fract_z
Cr1 0.000 0.000 0.000
Cr2 0.000 0.500 0.250
Co1 0.000 0.000 0.500
As1 0.000 0.500 0.750
# formation energy from the elements = 0.017 eV/f.u.
# calculated volume = 12.38 Å³/atom
# total DFT energy (no corrections) = -7.746 eV/atom